1.
{"formula": "Pu2Cu3NiGe4", "functional": "GGA-PBE", "state": "optimized geometry", "cell": [[4.158, 0.000, 0.000], [0.000, 4.158, 0.000], [0.000, 0.000, 9.918]], "species": ["Cu", "Cu", "Cu", "Ni", "Ge", "Ge", "Ge", "Ge", "Pu", "Pu"], "fractional_positions": [[0.000, 0.500, 0.133], [0.500, 0.000, 0.867], [0.000, 0.000, 0.500], [0.500, 0.500, 0.500], [0.000, 0.000, 0.000], [0.000, 0.500, 0.372], [0.500, 0.000, 0.628], [0.500, 0.500, 0.000], [0.500, 0.000, 0.256], [0.000, 0.500, 0.744]]}

=====

2.
{"formula": "SiTc2Ru", "functional": "GGA-PBE", "state": "optimized geometry", "e_form_raw_ev_per_atom": -0.277, "cell": [[2.887, 0.000, 0.000], [0.000, 2.887, 0.000], [0.000, 0.000, 6.541]], "species": ["Tc", "Tc", "Ru", "Si"], "fractional_positions": [[0.000, 0.000, 0.979], [0.500, 0.500, 0.247], [0.000, 0.000, 0.529], [0.500, 0.500, 0.745]]}

=====

3.
{"formula": "YTl2GaF", "functional": "GGA-PBE", "state": "optimized geometry", "e_form_raw_ev_per_atom": -0.713, "cell": [[6.180, 0.000, 0.000], [0.000, 4.227, 0.000], [0.000, 0.000, 6.180]], "species": ["Tl", "Tl", "Ga", "F", "Y"], "fractional_positions": [[0.000, 0.000, 0.500], [0.500, 0.000, 0.000], [0.500, 0.500, 0.500], [0.000, 0.500, 0.000], [0.000, 0.000, 0.000]]}

=====

4.
{"formula": "BeOs3I", "functional": "GGA-PBE", "state": "optimized geometry", "e_form_raw_ev_per_atom": 1.377, "cell": [[-1.254, 3.669, 1.752], [-4.064, -1.086, -0.634], [-0.100, -1.860, 3.825]], "species": ["Be", "Os", "Os", "Os", "I"], "fractional_positions": [[0.000, 0.000, 0.000], [0.000, 0.500, 0.000], [0.500, 0.000, 0.000], [0.000, 0.000, 0.500], [0.500, 0.500, 0.500]]}

=====

5.
{"formula": "Bi2SbBr", "functional": "GGA-PBE", "state": "optimized geometry", "e_form_raw_ev_per_atom": -0.008, "cell": [[-4.492, 7.229, -1.231], [-7.269, -4.580, -0.373], [-6.283, 1.675, 2.728]], "species": ["Sb", "Sb", "Bi", "Bi", "Bi", "Bi", "Br", "Br"], "fractional_positions": [[0.750, 0.250, 0.500], [0.000, 0.000, 0.000], [0.875, 0.899, 0.750], [0.375, 0.351, 0.750], [0.101, 0.625, 0.250], [0.649, 0.125, 0.250], [0.500, 0.500, 0.000], [0.250, 0.750, 0.500]]}

=====

6.
{"formula": "Zr2TcSnH", "functional": "GGA-PBE", "state": "optimized geometry", "cell": [[-1.596, 3.979, 1.288], [-3.834, -0.841, -2.153], [-1.507, -1.686, 3.343]], "species": ["Tc", "Zr", "Zr", "Sn", "H"], "fractional_positions": [[0.000, 0.000, 0.500], [0.000, 0.500, 0.000], [0.500, 0.000, 0.000], [0.500, 0.500, 0.500], [0.000, 0.000, 0.000]]}

=====

7.
{"formula": "LaYCu", "functional": "GGA-PBE", "state": "optimized geometry", "cell": [[6.812, -0.031, 0.033], [5.881, 3.436, 0.035], [0.931, 0.247, 3.458]], "species": ["Y", "Cu", "La"], "fractional_positions": [[0.631, 0.631, 0.369], [0.012, 0.012, 0.988], [0.356, 0.356, 0.644]]}

=====

8.
{"formula": "Pd3BrN", "functional": "GGA-PBE", "state": "optimized geometry", "e_form_raw_ev_per_atom": 0.410, "cell": [[-3.178, -1.382, -2.492], [-1.479, -2.390, 3.212], [-2.435, 3.255, 1.301]], "species": ["N", "Pd", "Pd", "Pd", "Br"], "fractional_positions": [[0.000, 0.000, 0.000], [0.500, 0.000, 0.000], [0.000, 0.000, 0.500], [0.000, 0.500, 0.000], [0.500, 0.500, 0.500]]}

=====

Number 1: final energy -6.850 eV per atom. Number 2: final energy -9.134 eV per atom. Number 3: final energy -3.932 eV per atom. Number 4: final energy -6.416 eV per atom. Number 5: final energy -3.397 eV per atom. Number 6: final energy -7.317 eV per atom. Number 7: final energy -5.259 eV per atom. Number 8: final energy -4.706 eV per atom.